Run a
Compound: ZrMnAsSe2
Source: Alexandria
Functional: PBE-GGA
Structure: optimized geometry

a = 5.1722 Å, b = 5.1722 Å, c = 5.2507 Å
α = 90.00°, β = 90.00°, γ = 90.00°
Atoms (fractional coordinates):
Zr (0.0000, 0.0000, 0.0000)
Mn (0.5000, 0.5000, 0.5000)
As (0.0000, 0.0000, 0.5000)
Se (0.0000, 0.5000, 0.0000)
Se (0.5000, 0.0000, 0.0000)

Density of states at the Fermi level in states/eV/atom: 0.656
Total moment in μB/atom: 1.0110

---

Run b
Compound: ZrMnAsSe2
Source: Alexandria
Functional: PBE-GGA
Structure: optimized geometry

a = 4.7403 Å, b = 4.7403 Å, c = 4.7194 Å
α = 90.00°, β = 90.00°, γ = 90.00°
Atoms (fractional coordinates):
Zr (0.0000, 0.0000, 0.0000)
Mn (0.5000, 0.5000, 0.5000)
As (0.5000, 0.5000, 0.0000)
Se (0.0000, 0.5000, 0.5000)
Se (0.5000, 0.0000, 0.5000)

Density of states at the Fermi level in states/eV/atom: 0.764
Total moment in μB/atom: 0.6950

---

Which one is the least stable? From the structures above, run a.